## a
This record from Alexandria via LeMat-Bulk describes an optimized crystal structure of CsV2S2. The functional is PBE-GGA.

D(E_F)	0.412	states/eV/atom
V	99	Å³/f.u.
SG	I4/mmm (139)

Cell lengths 5.4027, 5.4027, 5.4027 Å; angles 126.38, 126.38, 79.27 degrees
Positions (direct):
Cs  0.0000  0.0000  0.0000
V  0.3812  0.3812  0.0000
V  0.6188  0.6188  0.0000
S  0.2500  0.7500  0.5000
S  0.7500  0.2500  0.5000

---

## b
This record from Alexandria via LeMat-Bulk describes an optimized crystal structure of CsV2S2. The functional is PBE-GGA.

D(E_F)	0.514	states/eV/atom
V	105	Å³/f.u.
SG	P4/mmm (123)

Cell lengths 3.6642, 3.6642, 7.8384 Å; angles 90.00, 90.00, 90.00 degrees
Positions (direct):
Cs  0.0000  0.0000  0.0000
V  0.0000  0.5000  0.5000
V  0.5000  0.0000  0.5000
S  0.5000  0.5000  0.2938
S  0.5000  0.5000  0.7062

---

Of them, a has the lowest stability.